Density functional theory data (PBE) for Hf2ZnGa2 after structural relaxation.

E_tot ... -5.51 eV/atom
DOS(E_F) ... 6.6 states/eV/cell
Energy above the most stable polymorph in this dataset ... 0.352 eV/atom

Geometry as CIF:
```
data_Hf2ZnGa2
_cell_length_a 7.808
_cell_length_b 7.808
_cell_length_c 3.252
_cell_angle_alpha 90.00
_cell_angle_beta 90.00
_cell_angle_gamma 90.00
_space_group_name_H-M_alt 'P 4/m b m'
_space_group_IT_number 127
_space_group_name_Hall '-P 4 2ab'
loop_
_atom_site_label
_atom_site_type_symbol
_atom_site_fract_x
_atom_site_fract_y
_atom_site_fract_z
Hf1 Hf 0.136 0.364 0.000
Zn1 Zn 0.000 0.000 0.000
Ga1 Ga 0.169 0.669 0.500
```

Density functional theory data (PBE) for HfZnGa2 after structural relaxation.

E_tot ... -4.35 eV/atom
DOS(E_F) ... 5.4 states/eV/cell

Geometry as CIF:
```
data_HfZnGa2
_cell_length_a 3.9844
_cell_length_b 3.9844
_cell_length_c 16.8659
_cell_angle_alpha 90.00
_cell_angle_beta 90.00
_cell_angle_gamma 120.00
_space_group_name_H-M_alt 'R 3 m'
_space_group_IT_number 160
_space_group_name_Hall 'R 3 -2"'
loop_
_atom_site_label
_atom_site_type_symbol
_atom_site_fract_x
_atom_site_fract_y
_atom_site_fract_z
Hf1 Hf 0.0000 0.0000 0.0000
Zn1 Zn 0.0000 0.0000 0.8183
Ga1 Ga 0.0000 0.0000 0.4173
Ga2 Ga 0.0000 0.0000 0.5678
```

Density functional theory data (PBE) for Hf2Zn12Ga after structural relaxation.

E_tot ... -2.53 eV/atom
DOS(E_F) ... 17.5 states/eV/cell

Geometry as CIF:
```
data_Hf2Zn12Ga
_cell_length_a 5.417
_cell_length_b 5.417
_cell_length_c 17.036
_cell_angle_alpha 90.00
_cell_angle_beta 90.00
_cell_angle_gamma 90.00
_space_group_name_H-M_alt 'P 4/n b m'
_space_group_IT_number 125
loop_
_space_group_symop_operation_xyz
'x,y,z'
'-x,-y,-z'
'-y+1/2,x,z'
'y+1/2,-x,-z'
'-x+1/2,-y+1/2,z'
'x+1/2,y+1/2,-z'
'y,-x+1/2,z'
'-y,x+1/2,-z'
'x,-y+1/2,-z'
'-x,y+1/2,z'
'-y+1/2,-x+1/2,-z'
'y+1/2,x+1/2,z'
'-x+1/2,y,-z'
'x+1/2,-y,z'
'y,x,-z'
'-y,-x,z'
loop_
_atom_site_label
_atom_site_type_symbol
_atom_site_fract_x
_atom_site_fract_y
_atom_site_fract_z
Hf1 Hf 0.250 0.750 0.231
Zn1 Zn 0.000 0.000 0.394
Zn2 Zn 0.078 0.578 0.067
Zn3 Zn 0.250 0.250 0.160
Zn4 Zn 0.250 0.250 0.298
Ga1 Ga 0.250 0.750 0.500
```

Density functional theory data (PBE) for Hf2ZnGa after structural relaxation.

E_tot ... -6.35 eV/atom
DOS(E_F) ... 3.4 states/eV/cell

Geometry as CIF:
```
data_Hf2ZnGa
_cell_length_a 4.326
_cell_length_b 4.326
_cell_length_c 3.900
_cell_angle_alpha 90.00
_cell_angle_beta 90.00
_cell_angle_gamma 90.00
_space_group_name_H-M_alt 'P 4/m m m'
_space_group_IT_number 123
_space_group_name_Hall '-P 4 2'
loop_
_atom_site_label
_atom_site_type_symbol
_atom_site_fract_x
_atom_site_fract_y
_atom_site_fract_z
Hf1 Hf 0.000 0.500 0.000
Zn1 Zn 0.000 0.000 0.500
Ga1 Ga 0.500 0.500 0.500
```

Density functional theory data (PBE) for Hf2ZnGa after structural relaxation.

E_tot ... -6.18 eV/atom
DOS(E_F) ... 8.6 states/eV/cell

Geometry as CIF:
```
data_Hf2ZnGa
_cell_length_a 3.1427
_cell_length_b 3.1427
_cell_length_c 27.2382
_cell_angle_alpha 90.00
_cell_angle_beta 90.00
_cell_angle_gamma 120.00
_space_group_name_H-M_alt 'R -3 m'
_space_group_IT_number 166
_space_group_name_Hall '-R 3 2"'
loop_
_atom_site_label
_atom_site_type_symbol
_atom_site_fract_x
_atom_site_fract_y
_atom_site_fract_z
Hf1 Hf 0.0000 0.0000 0.2480
Zn1 Zn 0.0000 0.0000 0.5000
Ga1 Ga 0.0000 0.0000 0.0000
```

Density functional theory data (PBE) for HfZn4Ga3 after structural relaxation.

E_tot ... -3.00 eV/atom
DOS(E_F) ... 7.5 states/eV/cell

Geometry as CIF:
```
data_HfZn4Ga3
_cell_length_a 3.194
_cell_length_b 6.665
_cell_length_c 13.386
_cell_angle_alpha 90.00
_cell_angle_beta 90.00
_cell_angle_gamma 90.00
_space_group_name_H-M_alt 'I m m m'
_space_group_IT_number 71
_space_group_name_Hall '-I 2 2'
loop_
_atom_site_label
_atom_site_type_symbol
_atom_site_fract_x
_atom_site_fract_y
_atom_site_fract_z
Hf1 Hf 0.000 0.000 0.000
Zn1 Zn 0.000 0.312 0.151
Ga1 Ga 0.000 0.000 0.500
Ga2 Ga 0.000 0.500 0.323
```

Density functional theory data (PBE) for Hf2ZnGa after structural relaxation.

E_tot ... -5.97 eV/atom
DOS(E_F) ... 12.2 states/eV/cell

Geometry as CIF:
```
data_Hf2ZnGa
_cell_length_a 7.415
_cell_length_b 7.415
_cell_length_c 5.750
_cell_angle_alpha 90.00
_cell_angle_beta 90.00
_cell_angle_gamma 90.00
_space_group_name_H-M_alt 'I -4 2 d'
_space_group_IT_number 122
_space_group_name_Hall 'I -4 2bw'
loop_
_atom_site_label
_atom_site_type_symbol
_atom_site_fract_x
_atom_site_fract_y
_atom_site_fract_z
Hf1 Hf 0.248 0.250 0.125
Zn1 Zn 0.000 0.000 0.000
Ga1 Ga 0.000 0.000 0.500
```

Density functional theory data (PBE) for Hf2ZnGa4 after structural relaxation.

E_tot ... -4.48 eV/atom
DOS(E_F) ... 7.5 states/eV/cell
Energy above the most stable polymorph in this dataset ... 0.520 eV/atom

Geometry as CIF:
```
data_Hf2ZnGa4
_cell_length_a 4.728
_cell_length_b 4.728
_cell_length_c 13.442
_cell_angle_alpha 90.00
_cell_angle_beta 90.00
_cell_angle_gamma 90.00
_space_group_name_H-M_alt 'I 4/m m m'
_space_group_IT_number 139
_space_group_name_Hall '-I 4 2'
loop_
_atom_site_label
_atom_site_type_symbol
_atom_site_fract_x
_atom_site_fract_y
_atom_site_fract_z
Hf1 Hf 0.000 0.000 0.114
Zn1 Zn 0.000 0.000 0.500
Ga1 Ga 0.000 0.000 0.316
Ga2 Ga 0.000 0.500 0.000
```